[1]
Material: VGe2C
Method: DFT, PBE
State: relaxed

Unit cell a=6.1466 b=6.1466 c=5.2744 alpha=54.36 beta=54.36 gamma=90.00
Each line ends with the local moment (μB).
Fractional positions:
Ge (0.1971, 0.6250, 0.2500)  -0.03
Ge (0.5529, 0.1250, 0.2500)  -0.03
Ge (0.8750, 0.8029, 0.7500)  -0.03
Ge (0.3750, 0.4471, 0.7500)  -0.03
C (0.2500, 0.7500, 0.5000)  0.04
C (0.5000, 0.5000, 0.0000)  0.04
V (0.0000, 0.0000, 0.0000)  1.73
V (0.7500, 0.2500, 0.5000)  1.73

Density of states at the Fermi level = 3.6 states/eV/f.u.
Electronic total energy = -6.16 eV per atom
Space-group type = No. 122
Total magnetic moment = 2.0 μB per formula unit

---

[2]
Material: Pr6Nd2DyEr3
Method: DFT, PBE
State: relaxed

Unit cell a=6.3302 b=6.3302 c=11.9664 alpha=95.04 beta=95.04 gamma=120.01
Fractional positions:
Pr (0.7520, 0.7520, 0.2539)
Pr (0.4170, 0.0846, 0.2537)
Pr (0.9154, 0.5830, 0.7463)
Pr (0.5830, 0.9154, 0.7463)
Pr (0.0846, 0.4170, 0.2537)
Pr (0.2480, 0.2480, 0.7461)
Er (0.8336, 0.1664, 0.5000)
Er (0.5000, 0.5000, 0.5000)
Er (0.1664, 0.8336, 0.5000)
Dy (0.0000, 0.0000, 0.0000)
Nd (0.6668, 0.3332, 0.0000)
Nd (0.3332, 0.6668, 0.0000)

Density of states at the Fermi level = 14.3 states/eV/f.u.
Electronic total energy = -4.69 eV per atom
Space-group type = No. 12
Total magnetic moment = 0.0 μB per formula unit

---

Look up the total magnetic moment of the second one. 0.0 μB per formula unit

---

Look up the electronic total energy of the second one. -4.69 eV per atom

---

Which formula does entry 1 have? VGe2C